Record 1
The following is a DFT calculation (PBE) of a relaxed Bi2P3O12 crystal.

DOS at the Fermi energy = 5.0 states/eV/f.u.

```
data_Bi2P3O12
_space_group_name_H-M_alt 'P 1 21/c 1'
_space_group_IT_number 14
_space_group_name_Hall '-P 2ybc'
_cell_length_a 8.8095
_cell_length_b 9.2354
_cell_length_c 15.0982
_cell_angle_alpha 90.00
_cell_angle_beta 124.49
_cell_angle_gamma 90.00
loop_
_atom_site_label
_atom_site_type_symbol
_atom_site_fract_x
_atom_site_fract_y
_atom_site_fract_z
_atom_site_occupancy
Bi1 Bi 0.1304 0.0332 0.3836 1
Bi2 Bi 0.3654 0.0405 0.1135 1
P1 P 0.0393 0.6172 0.6435 1
P2 P 0.2646 0.1237 0.6619 1
P3 P 0.4513 0.7487 0.4943 1
O1 O 0.0592 0.7296 0.1901 1
O2 O 0.1132 0.9998 0.2311 1
O3 O 0.1407 0.0870 0.7010 1
O4 O 0.1507 0.6072 0.5916 1
O5 O 0.1641 0.0995 0.5410 1
O6 O 0.1705 0.0950 0.9442 1
O7 O 0.2550 0.6923 0.9450 1
O8 O 0.3166 0.2129 0.1924 1
O9 O 0.4061 0.1321 0.4402 1
O10 O 0.4419 0.0262 0.7198 1
O11 O 0.4550 0.6925 0.3976 1
O12 O 0.4943 0.6252 0.5758 1
```


Record 2
The following is a DFT calculation (PBE) of a relaxed BiPO crystal.

DOS at the Fermi energy = 0.0 states/eV/f.u.

```
data_BiPO
_space_group_name_H-M_alt 'P 3 m 1'
_space_group_IT_number 156
_space_group_name_Hall 'P 3 -2"'
_cell_length_a 4.1003
_cell_length_b 4.1003
_cell_length_c 4.7285
_cell_angle_alpha 90.00
_cell_angle_beta 90.00
_cell_angle_gamma 120.00
loop_
_atom_site_label
_atom_site_type_symbol
_atom_site_fract_x
_atom_site_fract_y
_atom_site_fract_z
_atom_site_occupancy
Bi1 Bi 0.0000 0.0000 0.0000 1
P1 P 0.3333 0.6667 0.7021 1
O1 O 0.3333 0.6667 0.3724 1
```


Record 3
The following is a DFT calculation (PBE) of a relaxed BiP2O2 crystal.

DOS at the Fermi energy = 2.1 states/eV/f.u.

```
data_BiP2O2
_space_group_name_H-M_alt 'P 4/m b m'
_space_group_IT_number 127
_space_group_name_Hall '-P 4 2ab'
_cell_length_a 8.9785
_cell_length_b 8.9785
_cell_length_c 2.7473
_cell_angle_alpha 90.00
_cell_angle_beta 90.00
_cell_angle_gamma 90.00
loop_
_atom_site_label
_atom_site_type_symbol
_atom_site_fract_x
_atom_site_fract_y
_atom_site_fract_z
_atom_site_occupancy
Bi1 Bi 0.0000 0.0000 0.0000 1
P1 P 0.2076 0.2924 0.5000 1
O1 O 0.1277 0.3723 0.0000 1
```


| no. | distance to the lowest polymorph of the same formula (meV/atom) | VASP energy (eV for the cell shown) | uncorrected formation energy (meV per atom) |
| --- | --- | --- | --- |
| 1 | 6 | -447.0 | -1662 |
| 2 | 168 | -16.1 | -629 |
| 3 | 20 | -52.6 | -332 |